No. 1
This record from Alexandria via LeMat-Bulk describes a relaxed KPa4Rh3O12 crystal. The functional is PBE.

Properties
space group = No. 204
formation energy without anion corrections = -2.549 eV/atom

Cell: 7.1276 7.1276 7.1276 Å, 109.47 109.47 109.47°
With the nearest neighbours (Å) after each atom.
Atoms (fractional coordinates):
K: 0.0000 0.0000 0.0000  12 O 2.85
Pa: 0.0000 0.0000 0.5000  6 O 2.22
Pa: 0.0000 0.5000 0.0000  6 O 2.22
Pa: 0.5000 0.0000 0.0000  6 O 2.22
Pa: 0.5000 0.5000 0.5000  6 O 2.22
Rh: 0.0000 0.5000 0.5000  4 O 2.10
Rh: 0.5000 0.0000 0.5000  4 O 2.10
Rh: 0.5000 0.5000 0.0000  4 O 2.10
O: 0.1406 0.8360 0.3046  1 Rh 2.10, 2 Pa 2.22
O: 0.1640 0.3046 0.4685  1 Rh 2.10, 2 Pa 2.22
O: 0.1640 0.6954 0.8594  1 Rh 2.10, 2 Pa 2.22
O: 0.3046 0.1406 0.8360  1 Rh 2.10, 2 Pa 2.22
O: 0.3046 0.4685 0.1640  1 Rh 2.10, 2 Pa 2.22
O: 0.4685 0.1640 0.3046  1 Rh 2.10, 2 Pa 2.22
O: 0.5315 0.8360 0.6954  1 Rh 2.10, 2 Pa 2.22
O: 0.6954 0.5315 0.8360  1 Rh 2.10, 2 Pa 2.22
O: 0.6954 0.8594 0.1640  1 Rh 2.10, 2 Pa 2.22
O: 0.8360 0.3046 0.1406  1 Rh 2.10, 2 Pa 2.22
O: 0.8360 0.6954 0.5315  1 Rh 2.10, 2 Pa 2.22
O: 0.8594 0.1640 0.6954  1 Rh 2.10, 2 Pa 2.22

***

No. 2
This record from Alexandria via LeMat-Bulk describes a relaxed Ho2ErSc7 crystal. The functional is PBE.

Properties
space group = No. 65
final energy = -5.657 eV per atom

Cell: 13.8462 13.8462 3.3177 Å, 90.00 90.00 154.90°
With the nearest neighbours (Å) after each atom.
Atoms (fractional coordinates):
Ho: 0.2108 0.7892 0.0000  4 Ho 3.32-3.68, 8 Sc 3.34-3.52
Ho: 0.7892 0.2108 0.0000  4 Ho 3.32-3.68, 8 Sc 3.34-3.52
Er: 0.5000 0.5000 0.5000  2 Er 3.32, 12 Sc 3.44-3.47
Sc: 0.0000 0.0000 0.0000  6 Sc 3.06-3.32
Sc: 0.1548 0.3516 0.0000  7 Sc 2.97-3.32
Sc: 0.3179 0.6821 0.5000  6 Sc 3.17-3.32, 6 Ho 3.34-3.52
Sc: 0.3516 0.1548 0.0000  7 Sc 2.97-3.32
Sc: 0.6484 0.8452 0.0000  7 Sc 2.97-3.32
Sc: 0.6821 0.3179 0.5000  6 Sc 3.17-3.32, 6 Ho 3.34-3.52
Sc: 0.8452 0.6484 0.0000  7 Sc 2.97-3.32

***

No. 3
This record from Alexandria via LeMat-Bulk describes a relaxed Cr2RePb crystal. The functional is PBE.

Properties
space group = No. 123
final energy = -8.347 eV per atom

Cell: 3.0556 3.0556 7.4178 Å, 90.00 90.00 90.00°
With the nearest neighbours (Å) after each atom.
Atoms (fractional coordinates):
Cr: 0.0000 0.0000 0.1953  4 Re 2.60, 1 Cr 2.90
Cr: 0.0000 0.0000 0.8047  4 Re 2.60, 1 Cr 2.90
Re: 0.5000 0.5000 0.0000  8 Cr 2.60
Pb: 0.5000 0.5000 0.5000  4 Pb 3.06, 8 Cr 3.13

***

No. 4
This record from Alexandria via LeMat-Bulk describes a relaxed Cr2Co3H3 crystal. The functional is PBE.

Properties
space group = No. 8
final energy = -6.158 eV per atom

Cell: 4.8801 4.8801 11.1930 Å, 92.85 92.85 29.76°
With the nearest neighbours (Å) after each atom.
Atoms (fractional coordinates):
Cr: 0.0000 0.0000 0.0000  2 H 1.86
Cr: 0.0013 0.0013 0.3410  2 H 1.87
Cr: 0.3436 0.3436 0.4749  2 H 1.81
Cr: 0.5998 0.5998 0.8187  2 H 1.78-1.80
Co: 0.3283 0.3283 0.8506  3 H 1.64-1.68
Co: 0.3791 0.3791 0.1725  4 H 1.67-1.76
Co: 0.6110 0.6110 0.5143  1 H 1.84
Co: 0.7190 0.7190 0.0120  3 H 1.73-1.81
Co: 0.7228 0.7228 0.3163  2 H 1.72-1.90
Co: 0.9666 0.9666 0.6487  3 H 1.64-1.76
H: 0.3569 0.3569 0.0158  4 Co 1.76-1.86, 2 Cr 1.86
H: 0.4327 0.4327 0.7373  3 Co 1.64, 1 Cr 1.78
H: 0.5476 0.5476 0.2254  1 Co 1.67
H: 0.7513 0.7513 0.1659  4 Co 1.72-1.74
H: 0.7734 0.7734 0.7597  2 Co 1.68, 1 Cr 1.80
H: 0.7936 0.7936 0.5812  2 Co 1.76-1.84, 2 Cr 1.81

***

What is the formula in the second record?
Ho2ErSc7